First-principles (PBE) data for a relaxed MgOs2Se crystal, as listed in Alexandria.

Properties
* VASP energy: -25.737 eV/cell
* uncorrected formation energy: 450 meV/atom
* N(E_F): 2.874 states/eV/cell
* E above lowest polymorph: 307 meV/atom

Cell lengths 5.449, 5.449, 5.449 Å; angles 148.12, 131.30, 59.39 degrees
Positions (direct):
Os 0.743 0.243 0.500
Se 0.527 0.527 0.000
Mg 0.256 0.756 0.500
Os 0.975 0.975 0.000